# RhPbCl2

A relaxed structure of RhPbCl2 (PBEsol, Alexandria).

a = 4.5208 Å, b = 4.5208 Å, c = 3.8720 Å
α = 90.00°, β = 90.00°, γ = 90.00°
Last column: nearest neighbours and their distance in Å.
Fractional coordinates of all 4 atoms:
Rh 0.0000 0.0000 0.0000  8 Cl 2.98, 4 Pb 3.20
Pb 0.5000 0.5000 0.0000  8 Cl 2.98, 4 Rh 3.20
Cl 0.0000 0.5000 0.5000  4 Pb 2.98, 4 Rh 2.98, 4 Cl 3.20
Cl 0.5000 0.0000 0.5000  4 Pb 2.98, 4 Rh 2.98, 4 Cl 3.20

DOS at the Fermi energy: 2.7 states/eV per cell
Formation energy (no corrections): 0.099 eV per atom